Ac2MgTl3Ag4 | the Alexandria database | GGA-PBE | optimized geometry; space-group type = No. 115; energy of formation = -0.18 eV per atom; ρ = 9.476 g cm⁻³; uncorrected energy = -3.0067 eV/atom
1.0
4.776 0.000 0.000
0.000 4.776 0.000
0.000 0.000 11.698
Ag Mg Ac Tl
4 1 2 3
Direct
0.500 0.500 0.000
0.000 0.500 0.368
0.500 0.000 0.632
0.000 0.000 0.000
0.500 0.500 0.500
0.500 0.000 0.240
0.000 0.500 0.760
0.500 0.000 0.867
0.000 0.000 0.500
0.000 0.500 0.133


Ac3Mg2Tl4Ag2 | the Alexandria database | GGA-PBE | optimized geometry; space-group type = No. 164; energy of formation = -0.20 eV per atom; ρ = 8.711 g cm⁻³; uncorrected energy = -2.9908 eV/atom
1.0
-3.000 -1.464 3.831
5.042 -0.497 0.389
0.896 13.766 5.962
Mg Ag Ac Tl
2 2 3 4
Direct
0.667 0.333 0.431
0.333 0.667 0.569
0.333 0.667 0.140
0.667 0.333 0.860
0.000 0.000 0.737
0.000 0.000 0.263
0.000 0.000 0.000
0.667 0.333 0.127
0.333 0.667 0.873
0.333 0.667 0.373
0.667 0.333 0.627